--- w ---
The following is a GGA-PBE calculation of a relaxed Al2ZnAs crystal, from the Open Quantum Materials Database.

a b c (Å): 4.6452 4.6452 4.6452
angles (deg): 60.00 60.00 60.00
With the nearest neighbours (Å) after each atom.
Fractional coordinates of all 4 atoms:
Al 0.0000 0.0000 0.0000  4 Al 2.84, 4 Zn 2.84
Al 0.2500 0.2500 0.2500  4 As 2.84, 4 Al 2.84
Zn 0.7500 0.7500 0.7500  4 As 2.84, 4 Al 2.84
As 0.5000 0.5000 0.5000  4 Zn 2.84, 4 Al 2.84

Output
**Space-group type**: No. 216

--- x ---
The following is a GGA-PBE calculation of a relaxed Al2ZnAs crystal, from the Open Quantum Materials Database.

a b c (Å): 5.1149 5.1522 5.5367
angles (deg): 77.44 89.56 89.98
With the nearest neighbours (Å) after each atom.
Fractional coordinates of all 8 atoms:
Al 0.2501 0.1433 0.4346  4 Zn 2.60-2.87, 1 As 2.63
Al 0.2503 0.7431 0.9897  4 As 2.57-2.60, 2 Zn 2.80-2.86
Al 0.7497 0.2569 0.0103  4 As 2.57-2.60, 2 Zn 2.80-2.86
Al 0.7499 0.8567 0.5654  4 Zn 2.60-2.87, 1 As 2.63
Zn 0.2500 0.6265 0.5081  6 Al 2.60-2.87, 1 As 2.77, 2 Zn 2.88
Zn 0.7500 0.3735 0.4919  6 Al 2.60-2.87, 1 As 2.77, 2 Zn 2.88
As 0.2503 0.2497 0.9482  5 Al 2.57-2.63, 1 Zn 2.77
As 0.7497 0.7503 0.0518  5 Al 2.57-2.63, 1 Zn 2.77

Output
**Space-group type**: No. 2

Of them, w has the lowest stability.

--- w ---
The following is a GGA-PBE calculation of a relaxed AlB4Au crystal, from the Open Quantum Materials Database.

a b c (Å): 3.0391 3.0391 7.2190
angles (deg): 90.00 90.00 120.00
With the nearest neighbours (Å) after each atom.
Fractional coordinates of all 6 atoms:
Al 0.0000 0.0000 0.0000  12 B 2.32
B 0.3333 0.6667 0.2107  3 B 1.75
B 0.3333 0.6667 0.7893  3 B 1.75
B 0.6667 0.3333 0.2107  3 B 1.75
B 0.6667 0.3333 0.7893  3 B 1.75
Au 0.0000 0.0000 0.5000  12 B 2.73, 6 Au 3.04

Output
**Space-group type**: No. 191

--- x ---
The following is a GGA-PBE calculation of a relaxed AlB4Au crystal, from the Open Quantum Materials Database.

a b c (Å): 4.7122 4.7122 4.7122
angles (deg): 141.65 112.17 80.69
With the nearest neighbours (Å) after each atom.
Fractional coordinates of all 6 atoms:
Al 0.0000 0.0000 0.0000  12 B 2.46-2.57
B 0.0591 0.7336 0.3255  3 B 1.76-1.83
B 0.4081 0.7336 0.6745  3 B 1.76-1.83
B 0.5919 0.2664 0.3255  3 B 1.76-1.83
B 0.9409 0.2664 0.6745  3 B 1.76-1.83
Au 0.5000 0.5000 0.0000  12 B 2.40-2.63

Output
**Space-group type**: No. 71

Of them, x has the lowest stability.